[1]
ZrInAs2 | PBE | optimized geometry

abc: 4.941 4.941 4.941
angles: 60.00 60.00 60.00
Element x y z (fractional)
Zr: 0.000 0.000 0.000
In: 0.750 0.750 0.750
As: 0.250 0.250 0.250
As: 0.500 0.500 0.500

Properties
DFT formation energy ... 11.8 kJ/mol of atoms
Symmetry ... No. 216
Total magnetization ... 0.00 μB per cell

[2]
Ba2OsIN | PBE | optimized geometry

abc: 6.006 6.006 3.848
angles: 90.00 90.00 90.00
Element x y z (fractional)
Ba: 0.000 0.500 0.000
Ba: 0.500 0.000 0.000
Os: 0.000 0.000 0.500
I: 0.500 0.500 0.500
N: 0.000 0.000 0.000

Properties
E_form (uncorrected) ... -0.646 eV/atom
Symmetry ... No. 123
Total magnetization ... 0.00 μB per cell

[3]
CoNi2Ag | PBE | optimized geometry

abc: 4.435 4.435 4.671
angles: 99.33 99.33 34.29
Element x y z (fractional)
Co: 0.000 0.000 0.000
Ni: 0.257 0.257 0.779
Ni: 0.743 0.743 0.221
Ag: 0.500 0.500 0.500

Properties
DFT formation energy ... 25.3 kJ/mol of atoms
Symmetry ... No. 12
E above lowest polymorph ... 39 kJ/mol of formula units
Total magnetization ... 2.93 μB per cell

[4]
CsK2RbLi | PBE | optimized geometry

abc: 7.216 7.216 7.418
angles: 90.00 90.00 90.00
Element x y z (fractional)
Cs: 0.000 0.000 0.000
K: 0.000 0.500 0.500
K: 0.500 0.000 0.500
Rb: 0.500 0.500 0.000
Li: 0.500 0.500 0.500

Properties
DFT formation energy ... 10.2 kJ/mol of atoms
Symmetry ... No. 123
E above lowest polymorph ... 0 kJ/mol of formula units
Total magnetization ... 0.00 μB per cell

[5]
Ba2TbAg3Bi4 | PBE | optimized geometry

abc: 5.047 5.047 12.555
angles: 90.00 90.00 90.00
Element x y z (fractional)
Ba: 0.000 0.500 0.227
Ba: 0.500 0.000 0.773
Tb: 0.000 0.000 0.500
Ag: 0.000 0.500 0.873
Ag: 0.500 0.000 0.127
Ag: 0.500 0.500 0.500
Bi: 0.000 0.000 0.000
Bi: 0.000 0.500 0.643
Bi: 0.500 0.000 0.357
Bi: 0.500 0.500 0.000

Properties
DFT formation energy ... -48.9 kJ/mol of atoms
Symmetry ... No. 115
Total magnetization ... 0.00 μB per cell

[6]
BaZnGa2 | PBE | optimized geometry

abc: 5.095 4.877 4.877
angles: 86.02 90.00 90.00
Element x y z (fractional)
Ba: 0.000 0.000 0.000
Zn: 0.500 0.374 0.374
Ga: 0.500 0.509 0.875
Ga: 0.500 0.875 0.509

Properties
DFT formation energy ... -15.0 kJ/mol of atoms
Symmetry ... No. 38
Total magnetization ... 0.00 μB per cell